[1]
First-principles (PBE-GGA) data for an optimized crystal structure of K3La3InS8, as listed in Alexandria.

Geometry as extended XYZ:
```
15
Lattice="-4.599 -6.741 2.076 8.407 -0.509 -0.105 -3.858 4.646 6.541" Properties=species:S:1:pos:R:3 pbc="T T T"
K 0.000 0.000 0.000
K 4.203 -0.255 -0.053
K 1.904 -3.625 0.985
La -4.229 -1.047 4.308
La -0.025 -1.302 4.256
La 2.274 2.069 3.218
In -1.929 2.323 3.270
S 2.098 -0.691 2.406
S -2.149 -1.913 6.105
S -0.067 -4.124 3.536
S 0.017 1.521 4.975
S -4.542 -3.853 3.591
S 4.492 1.249 4.920
S -2.095 -0.265 2.486
S 2.044 -2.338 6.025
```

**Crystal system**: trigonal
**Size of the total moment**: 1.09 μB/f.u.
**ΔE_f (raw)**: -1.52 eV per atom

---

[2]
First-principles (PBE-GGA) data for an optimized crystal structure of Tm7ZnRh4, as listed in Alexandria.

Geometry as extended XYZ:
```
12
Lattice="-1.175 2.746 -4.292 -6.626 -3.483 -3.599 -5.407 4.695 1.299" Properties=species:S:1:pos:R:3 pbc="T T T"
Tm -9.708 1.723 -5.794
Tm -3.500 2.235 -0.797
Tm -5.471 -1.116 -2.401
Tm -7.737 5.075 -4.190
Tm -8.379 2.156 -2.697
Tm -0.588 1.373 -2.146
Tm -4.830 1.803 -3.894
Zn 0.000 0.000 0.000
Rh -5.612 3.821 -2.389
Rh -7.597 0.137 -4.202
Rh -10.219 4.059 -4.160
Rh -2.989 -0.101 -2.431
```

**Crystal system**: monoclinic
**Size of the total moment**: 0.00 μB/f.u.
**Energy relative to the elements**: -6.4 eV/f.u.

---

Among the records above, which one has the highest size of the total moment?
K3La3InS8

---

What did the second record say?
First-principles (PBE-GGA) data for an optimized crystal structure of Tm7ZnRh4, as listed in Alexandria.

Geometry as extended XYZ:
```
12
Lattice="-1.175 2.746 -4.292 -6.626 -3.483 -3.599 -5.407 4.695 1.299" Properties=species:S:1:pos:R:3 pbc="T T T"
Tm -9.708 1.723 -5.794
Tm -3.500 2.235 -0.797
Tm -5.471 -1.116 -2.401
Tm -7.737 5.075 -4.190
Tm -8.379 2.156 -2.697
Tm -0.588 1.373 -2.146
Tm -4.830 1.803 -3.894
Zn 0.000 0.000 0.000
Rh -5.612 3.821 -2.389
Rh -7.597 0.137 -4.202
Rh -10.219 4.059 -4.160
Rh -2.989 -0.101 -2.431
```

**Crystal system**: monoclinic
**Size of the total moment**: 0.00 μB/f.u.
**Energy relative to the elements**: -6.4 eV/f.u.

---

size of the total moment of number 1 (K3La3InS8)?
1.09 μB/f.u.